## Li4H2Rh (PBE)

Data for a relaxed structure of Li4H2Rh.

extended XYZ file:
```
7
Lattice="2.109 1.217 5.207 -2.109 1.217 5.207 0.000 -2.435 5.207" Properties=species:S:1:pos:R:3 pbc="T T T"
Li 0.000 0.000 1.784
Li 0.000 0.000 4.321
Li 0.000 0.000 11.301
Li 0.000 0.000 13.838
H 0.000 0.000 6.130
H 0.000 0.000 9.492
Rh 0.000 0.000 7.811
```

Energy   -23.5 eV per cell
M_tot   0.0 μB/f.u.


## Ba3U2N3O4 (PBE)

Data for a relaxed structure of Ba3U2N3O4.

extended XYZ file:
```
12
Lattice="-2.162 2.234 11.146 2.162 -2.234 11.146 2.162 2.234 -11.146" Properties=species:S:1:pos:R:3 pbc="T T T"
Ba 0.000 0.000 0.000
Ba 0.000 0.000 4.138
Ba 0.000 0.000 18.155
U 0.000 0.000 8.985
U 0.000 0.000 13.308
N 2.162 0.000 8.939
N 0.000 0.000 11.146
N 0.000 2.234 2.207
O 2.162 0.000 2.227
O 0.000 0.000 6.818
O 0.000 0.000 15.475
O 0.000 2.234 8.919
```

Energy   -100.3 eV per cell
M_tot   1.0 μB/f.u.


## Pr2Nd3Hg2 (PBE)

Data for a relaxed structure of Pr2Nd3Hg2.

extended XYZ file:
```
7
Lattice="1.884 -16.073 0.000 1.884 16.073 0.000 0.000 0.000 3.717" Properties=species:S:1:pos:R:3 pbc="T T T"
Pr 1.884 9.576 0.000
Pr 1.884 -9.576 0.000
Nd 1.884 13.531 0.000
Nd 1.884 0.000 1.859
Nd 1.884 -13.531 0.000
Hg 1.884 4.485 1.859
Hg 1.884 -4.485 1.859
```

Energy   -25.9 eV per cell
Relative energy among the computed polymorphs   30 meV per atom
M_tot   0.9 μB/f.u.


## KDy2AgF8 (PBE)

Data for a relaxed structure of KDy2AgF8.

extended XYZ file:
```
12
Lattice="3.871 0.000 0.000 0.000 6.114 0.000 0.000 0.000 7.721" Properties=species:S:1:pos:R:3 pbc="T T T"
K 0.000 0.000 0.000
Dy 1.935 3.057 1.941
Dy 1.935 3.057 5.780
Ag 0.000 0.000 3.861
F 0.000 1.793 1.966
F 0.000 1.793 5.755
F 0.000 4.321 1.966
F 0.000 4.321 5.755
F 1.935 1.772 3.861
F 1.935 1.806 0.000
F 1.935 4.308 0.000
F 1.935 4.342 3.861
```

Energy   -68.9 eV per cell
M_tot   0.1 μB/f.u.


## BaOsW2 (PBE)

Data for a relaxed structure of BaOsW2.

extended XYZ file:
```
4
Lattice="1.677 -2.383 0.000 1.677 2.383 0.000 0.000 0.000 9.908" Properties=species:S:1:pos:R:3 pbc="T T T"
Ba 0.000 0.000 0.000
Os 1.677 0.000 7.096
W 0.000 0.000 5.102
W 1.677 0.000 3.032
```

Energy   -35.2 eV per cell
Relative energy among the computed polymorphs   168 meV per atom
M_tot   0.0 μB/f.u.


## YTe (PBE)

Data for a relaxed structure of YTe.

extended XYZ file:
```
12
Lattice="8.777 0.000 0.000 -4.389 7.601 0.000 0.000 0.000 6.118" Properties=species:S:1:pos:R:3 pbc="T T T"
Y -0.990 3.042 1.530
Y -1.259 6.938 1.530
Y 2.139 2.378 4.589
Y 2.250 5.223 1.530
Y 5.648 0.663 4.589
Y 5.379 4.560 4.589
Te -0.905 2.790 4.589
Te -1.520 6.990 4.589
Te 1.964 2.179 1.530
Te 2.425 5.422 4.589
Te 5.908 0.611 1.530
Te 5.294 4.811 1.530
```

Energy   -71.6 eV per cell
M_tot   0.0 μB/f.u.


## TlSbRu2 (PBE)

Data for a relaxed structure of TlSbRu2.

extended XYZ file:
```
4
Lattice="-1.952 1.952 4.824 1.952 -1.952 4.824 1.952 1.952 -4.824" Properties=species:S:1:pos:R:3 pbc="T T T"
Tl 0.000 0.000 0.000
Sb 0.000 1.952 2.412
Ru 1.952 0.000 2.412
Ru 0.000 0.000 4.824
```

Energy   -22.7 eV per cell
M_tot   1.4 μB/f.u.


## La2Ho6Mg (PBE)

Data for a relaxed structure of La2Ho6Mg.

extended XYZ file:
```
18
Lattice="9.967 0.000 0.000 0.000 10.332 0.000 0.000 0.000 5.505" Properties=species:S:1:pos:R:3 pbc="T T T"
La 1.898 2.478 0.000
La 3.085 7.644 2.752
La 6.881 2.688 2.752
La 8.068 7.853 0.000
Ho 0.157 3.371 2.752
Ho 1.415 9.201 0.000
Ho 1.738 5.830 0.000
Ho 3.245 0.664 2.752
Ho 3.569 4.035 2.752
Ho 4.827 8.537 0.000
Ho 5.140 1.795 0.000
Ho 6.398 6.296 2.752
Ho 6.722 9.668 2.752
Ho 8.228 4.502 0.000
Ho 8.552 1.131 0.000
Ho 9.810 6.961 2.752
Mg 0.000 0.000 2.752
Mg 4.983 5.166 0.000
```

Energy   -76.5 eV per cell
Relative energy among the computed polymorphs   0 meV per atom
M_tot   0.0 μB/f.u.


## RbSr2UO5 (PBE)

Data for a relaxed structure of RbSr2UO5.

extended XYZ file:
```
9
Lattice="-2.192 3.210 5.922 2.192 -3.210 5.922 2.192 3.210 -5.922" Properties=species:S:1:pos:R:3 pbc="T T T"
Rb 0.000 0.000 0.000
Sr 2.192 0.000 3.278
Sr 0.000 3.210 2.644
U 0.000 0.000 5.922
O 2.192 1.796 -1.618
O 2.192 1.796 1.618
O 0.000 3.210 0.000
O 0.000 1.414 4.305
O 0.000 1.414 7.540
```

Energy   -66.0 eV per cell
M_tot   1.0 μB/f.u.


## TaNiCl (PBE)

Data for a relaxed structure of TaNiCl.

extended XYZ file:
```
3
Lattice="4.247 0.000 0.000 -2.123 3.678 0.000 0.000 0.000 2.928" Properties=species:S:1:pos:R:3 pbc="T T T"
Ta 0.000 0.000 0.000
Ni 0.000 2.452 1.464
Cl 2.123 1.226 0.000
```

Energy   -18.7 eV per cell
Relative energy among the computed polymorphs   367 meV per atom
M_tot   0.0 μB/f.u.


## RbHg7H5 (PBE)

Data for a relaxed structure of RbHg7H5.

extended XYZ file:
```
13
Lattice="3.034 -5.135 0.000 3.034 5.135 0.000 -1.868 0.000 10.260" Properties=species:S:1:pos:R:3 pbc="T T T"
Rb 0.000 0.000 0.000
Hg 0.032 0.000 3.652
Hg 1.034 1.780 8.315
Hg 2.188 1.761 5.858
Hg 3.074 0.000 2.377
Hg 1.034 -1.780 8.315
Hg 2.188 -1.761 5.858
Hg 4.845 0.000 6.605
H 0.013 2.438 9.596
H 2.936 1.678 4.301
H 1.369 0.000 9.072
H 0.013 -2.438 9.596
H 2.936 -1.678 4.301
```

Energy   -17.8 eV per cell
M_tot   0.0 μB/f.u.


## PmDy6Tl2 (PBE)

Data for a relaxed structure of PmDy6Tl2.

extended XYZ file:
```
9
Lattice="6.412 -1.877 0.000 6.412 1.877 0.000 -3.701 0.000 11.417" Properties=species:S:1:pos:R:3 pbc="T T T"
Pm 0.000 0.000 0.000
Dy -1.137 0.000 3.958
Dy 2.426 0.000 4.762
Dy 3.541 0.000 1.437
Dy 5.583 0.000 9.980
Dy 6.698 0.000 6.655
Dy 10.261 0.000 7.459
Tl 1.698 0.000 8.978
Tl 7.426 0.000 2.439
```

Energy   -38.4 eV per cell
Relative energy among the computed polymorphs   0 meV per atom
M_tot   0.0 μB/f.u.